This record from the Alexandria database describes a relaxed structure of ErTmGa2. The functional is PBE-GGA.

Summary:
Space group: Amm2, No. 38
Formation enthalpy at 0 K in kJ per mole of atoms: -60.4
Size of the total moment in μB/f.u.: 0.0

```
ErTmGa2
1.0
4.002 0.000 0.000
0.000 2.157 5.368
0.000 -2.157 5.368
Er Tm Ga
1 1 2
direct
0.000 0.000 0.000
0.500 0.722 0.722
0.000 0.282 0.282
0.500 0.439 0.439
```